[1]
Na5GaBr6: optimized geometry, PBE.

Results
Raw total energy   -36.28 eV/cell
Calculated volume   339 Å³ per cell

Cell and atoms, written as POSCAR:
```
Na5GaBr6
1.0
3.730 -6.461 0.000
3.730 6.461 0.000
-2.498 0.000 7.026
Na Ga Br
5 1 6
direct
0.000 0.000 0.000
0.167 0.833 0.500
0.336 0.664 0.000
0.664 0.336 0.000
0.833 0.167 0.500
0.500 0.500 0.500
0.073 0.415 0.246
0.243 0.243 0.756
0.415 0.073 0.246
0.585 0.927 0.754
0.757 0.757 0.244
0.927 0.585 0.754
```



[2]
Ta2TeSe: optimized geometry, PBE.

Results
Energy above the most stable polymorph in this dataset   0.0 meV per atom
Calculated volume   292 Å³ per cell

Cell and atoms, written as POSCAR:
```
Ta2TeSe
1.0
3.392 0.000 0.000
-1.696 2.937 0.000
0.000 0.000 29.304
Ta Te Se
6 3 3
direct
0.000 0.000 0.000
0.000 0.000 0.261
0.333 0.667 0.667
0.333 0.667 0.928
0.667 0.333 0.333
0.667 0.333 0.594
0.000 0.000 0.526
0.333 0.667 0.192
0.667 0.333 0.859
0.000 0.000 0.726
0.333 0.667 0.392
0.667 0.333 0.059
```



Q: calculated volume of number 1 (Na5GaBr6)?
A: 339 Å³ per cell